This record from Alexandria via LeMat-Bulk describes LiCrPb2 after structural relaxation. The functional is PBE.

Output
ρ	8.55	g/cm3
magnetization	3.8	μB per formula unit
Fermi-level density of states	1.46	states/eV/cell
symmetry	C2/m (12)
energy	-4.539	eV/atom

Cell lengths 4.9673, 4.9673, 5.8232 Å; angles 78.83, 78.83, 40.81 degrees
With the nearest neighbours (Å) after each atom.
Element x y z (fractional)
Pb1 0.9970 0.9970 0.0070  3 Cr 2.99, 3 Li 2.99-3.05, 2 Pb 3.33
Pb2 0.5030 0.5030 0.4930  3 Cr 2.99, 3 Li 2.99-3.05, 2 Pb 3.33
Cr1 0.2500 0.2500 0.2500  6 Pb 2.99
Li1 0.7500 0.7500 0.7500  6 Pb 2.99-3.05

---

This record from Alexandria via LeMat-Bulk describes NdC2N4 after structural relaxation. The functional is PBE.

Output
ρ	3.01	g/cm3
energy relative to the elements, uncorrected	-277	meV per atom
magnetization	0.0	μB per formula unit
Fermi-level density of states	3.08	states/eV/cell
symmetry	C2/c (15)
energy	-8.351	eV/atom

Cell lengths 10.0528, 10.0528, 7.4093 Å; angles 92.27, 92.27, 160.14 degrees
With the nearest neighbours (Å) after each atom.
Element x y z (fractional)
N1 0.6235 0.2654 0.3224  1 C 1.23
N2 0.6265 0.4844 0.1777  1 C 1.23
N3 0.9418 0.2996 0.6774  1 C 1.23
N4 0.5154 0.3735 0.8224  1 C 1.23
N5 0.7344 0.3765 0.6777  1 C 1.23
N6 0.3080 0.4503 0.8224  1 C 1.23
N7 0.5496 0.6918 0.1774  1 C 1.23
N8 0.7003 0.0580 0.3224  1 C 1.23
C1 0.6249 0.8749 0.2500  2 N 1.23
C2 0.1249 0.3749 0.7500  2 N 1.23
C3 0.6250 0.3749 0.2500  2 N 1.23
C4 0.6249 0.3750 0.7500  2 N 1.23
Nd1 0.2500 0.7507 0.5000  8 N 2.50-2.66
Nd2 0.0007 0.0000 0.0000  8 N 2.50-2.66

---

This record from Alexandria via LeMat-Bulk describes PaInH after structural relaxation. The functional is PBE.

Output
ρ	10.70	g/cm3
magnetization	0.0	μB per formula unit
relative energy among the computed polymorphs	0.000	eV per atom
Fermi-level density of states	2.96	states/eV/cell
symmetry	P3m1 (156)
energy	-5.316	eV/atom

Cell lengths 5.6428, 3.3182, 3.3182 Å; angles 120.00, 90.00, 90.00 degrees
With the nearest neighbours (Å) after each atom.
Element x y z (fractional)
In1 0.7230 0.3333 0.6667  3 H 2.63
Pa1 0.2356 0.6667 0.3333  3 H 2.21
H1 0.0414 0.0000 0.0000  3 Pa 2.21

---

This record from Alexandria via LeMat-Bulk describes Pu2BrO8 after structural relaxation. The functional is PBE.

Output
ρ	5.80	g/cm3
energy relative to the elements, uncorrected	-1637	meV per atom
magnetization	3.0	μB per formula unit
Fermi-level density of states	6.00	states/eV/cell
symmetry	C2/m (12)
energy	-8.001	eV/atom

Cell lengths 6.9244, 6.5896, 6.9244 Å; angles 126.20, 120.89, 53.80 degrees
With the nearest neighbours (Å) after each atom.
Element x y z (fractional)
Pu1 0.3466 0.3647 0.6534  2 O 1.78-1.82
Pu2 0.6534 0.6353 0.3466  2 O 1.78-1.82
O1 0.7032 0.3130 0.9183  1 Br 1.99, 1 Pu 2.16
O2 0.0817 0.3130 0.2968  1 Br 1.99, 1 Pu 2.16
O3 0.6333 0.9348 0.3667  1 Pu 1.82
O4 0.3667 0.0652 0.6333  1 Pu 1.82
O5 0.2968 0.6870 0.0817  1 Br 1.99, 1 Pu 2.16
O6 0.3406 0.6415 0.6594  1 Pu 1.78
O7 0.9183 0.6870 0.7032  1 Br 1.99, 1 Pu 2.16
O8 0.6594 0.3585 0.3406  1 Pu 1.78
Br1 0.0000 0.0000 0.0000  4 O 1.99